1.
First-principles (GGA-PBE) data for a relaxed BPSe2 crystal, as listed in the Alexandria database.

Cell lengths 5.984, 5.984, 5.916 Å; angles 59.62, 59.62, 90.00 degrees
Fractional positions:
Se  0.875  0.805  0.750
Se  0.555  0.125  0.250
Se  0.195  0.625  0.250
Se  0.375  0.445  0.750
P  0.750  0.250  0.500
P  0.000  0.000  0.000
B  0.250  0.750  0.500
B  0.500  0.500  0.000

Properties
The total energy is -33.82 eV per cell.

2.
First-principles (GGA-PBE) data for a relaxed Mg2CrP2 crystal, as listed in the Alexandria database.

Cell lengths 6.120, 6.120, 3.986 Å; angles 90.00, 90.00, 90.00 degrees
Fractional positions:
P  0.361  0.861  0.000
P  0.639  0.139  0.000
P  0.861  0.639  0.000
P  0.139  0.361  0.000
Cr  0.000  0.000  0.000
Cr  0.500  0.500  0.000
Mg  0.323  0.177  0.500
Mg  0.823  0.323  0.500
Mg  0.177  0.677  0.500
Mg  0.677  0.823  0.500

Properties
For the formation energy from the elements, the calculation gives -0.3359 eV per atom.

no.,spin magnetization (μB per cell)
1,0.00
2,0.00